The following is a PBE-GGA calculation of a geometry-optimized La3Pr6Sc structure, from Alexandria.

Cell: 6.9477 8.8746 7.0188 Å, 105.77 119.67 90.00°
With the nearest neighbours (Å) after each atom.
Fractional coordinates of all 10 atoms:
La1 0.8904 0.3199 0.7807  4 Pr 3.34-3.69, 2 La 3.47-3.50
La2 0.1096 0.6801 0.2193  4 Pr 3.34-3.69, 2 La 3.47-3.50
La3 0.0000 0.0000 0.0000  4 Pr 3.30, 2 La 3.50
Pr1 0.4060 0.3089 0.3075  3 La 3.30-3.69, 1 Sc 3.37, 3 Pr 3.44-3.51
Pr2 0.0986 0.6911 0.6926  3 La 3.30-3.69, 1 Sc 3.37, 3 Pr 3.44-3.51
Pr3 0.5940 0.6911 0.6925  3 La 3.30-3.69, 1 Sc 3.37, 3 Pr 3.44-3.51
Pr4 0.9014 0.3089 0.3074  3 La 3.30-3.69, 1 Sc 3.37, 3 Pr 3.44-3.51
Pr5 0.3547 0.0990 0.7094  1 Sc 3.44
Pr6 0.6453 0.9010 0.2906  1 Sc 3.44
Sc1 0.5000 0.5000 0.0000  6 Pr 3.37-3.44

polymorph energy (0 for the lowest one): 0.1261 eV/atom
total DFT energy (no corrections): -4.76 eV per atom
SG: C2/m
formation energy from the elements: 0.2173 eV/atom

The following is a PBE-GGA calculation of a geometry-optimized Cu2HgIBr structure, from Alexandria.

Cell: 5.2678 5.2066 5.2678 Å, 90.00 90.00 90.00°
With the nearest neighbours (Å) after each atom.
Fractional coordinates of all 5 atoms:
I1 0.5000 0.5000 0.5000  8 Cu 3.70, 4 Br 3.72
Cu1 0.0000 0.0000 0.5000  2 Hg 2.63
Cu2 0.5000 0.0000 0.0000  2 Hg 2.63
Hg1 0.0000 0.0000 0.0000  2 Br 2.60, 4 Cu 2.63
Br1 0.0000 0.5000 0.0000  2 Hg 2.60

total DFT energy (no corrections): -1.66 eV per atom
SG: P4/mmm

The following is a PBE-GGA calculation of a geometry-optimized ErScPb2 structure, from Alexandria.

Cell: 4.3512 4.9120 4.9120 Å, 90.00 90.00 90.00°
With the nearest neighbours (Å) after each atom.
Fractional coordinates of all 4 atoms:
Pb1 0.0000 0.0000 0.5000  4 Er 3.28, 4 Sc 3.28, 4 Pb 3.47
Pb2 0.0000 0.5000 0.0000  4 Sc 3.28, 4 Er 3.28, 4 Pb 3.47
Sc1 0.5000 0.0000 0.0000  8 Pb 3.28, 4 Er 3.47
Er1 0.5000 0.5000 0.5000  8 Pb 3.28, 4 Sc 3.47

total DFT energy (no corrections): -4.91 eV per atom
SG: P4/mmm
formation energy from the elements: -0.3372 eV/atom

Q: Among the records above, which one has the lowest total DFT energy (no corrections)?
A: ErScPb2

Q: Look up the total DFT energy (no corrections) of the first one.
A: -4.76 eV per atom

Q: The lowest total DFT energy (no corrections) belongs to which entry?
A: ErScPb2